Here is a relaxed Re3PtO crystal from the Alexandria database. Energies are from GGA-PBE. Values from VASP.

The structure in Quantum ESPRESSO input format:
```
&SYSTEM
  ibrav = 0, nat = 5, ntyp = 3
/
ATOMIC_SPECIES
Re 186.21 Re.upf
Pt 195.08 Pt.upf
O 16.00 O.upf
ATOMIC_POSITIONS angstrom
Re 0.000 0.000 2.041
Re 0.000 2.041 0.000
Re 2.041 0.000 0.000
Pt 2.041 2.041 2.041
O 0.000 0.000 0.000
CELL_PARAMETERS angstrom
4.082 0.000 0.000
0.000 4.082 0.000
0.000 0.000 4.082
```

Properties
calculated total energy = -9.338 eV per atom
polymorph energy (0 for the lowest one) = 0 meV per atom
D(E_F) = 3.355 states/eV/f.u.